The following is a DFT calculation (PBE) of an optimized crystal structure of Pa2ZnHg.

a b c (Å): 3.1089 3.1089 9.2404
angles (deg): 90.00 90.00 90.00
Element x y z (fractional)
Hg (0.5000, 0.5000, 0.5000)
Pa (0.0000, 0.0000, 0.7672)
Pa (0.0000, 0.0000, 0.2328)
Zn (0.5000, 0.5000, 0.0000)

Results
* ΔE to the lowest computed polymorph: 0 meV/atom
* total magnetic moment: 0.55 μB/f.u.
* energy of formation: 0.0370 eV per atom